{
  "formula": "Pr2Sm2Ir3",
  "functional": "GGA-PBE",
  "state": "optimized geometry",
  "density_g_cm3": 11.07,
  "dft_energy_ev_per_atom": -7.11,
  "magmom_total_mub_per_cell": 0.00,
  "vol_a3_per_cell": 347.6,
  "lattice_angstrom": [[-4.429, 4.429, 4.429], [4.429, -4.429, 4.429], [4.429, 4.429, -4.429]],
  "species": ["Pr", "Pr", "Pr", "Pr", "Sm", "Sm", "Sm", "Sm", "Ir", "Ir", "Ir", "Ir", "Ir", "Ir"],
  "frac_coords": [[0.000, 0.372, 0.500], [0.128, 0.128, 0.128], [0.372, 0.500, 0.000], [0.500, 0.000, 0.372], [0.000, 0.877, 0.500], [0.500, 0.000, 0.877], [0.623, 0.623, 0.623], [0.877, 0.500, 0.000], [0.112, 0.750, 0.862], [0.250, 0.638, 0.388], [0.388, 0.250, 0.638], [0.638, 0.388, 0.250], [0.750, 0.862, 0.112], [0.862, 0.112, 0.750]]
}


{
  "formula": "PrSmIr2",
  "functional": "GGA-PBE",
  "state": "optimized geometry",
  "density_g_cm3": 12.64,
  "dft_energy_ev_per_atom": -7.36,
  "magmom_total_mub_per_cell": 0.00,
  "vol_a3_per_cell": 88.8,
  "lattice_angstrom": [[0.000, 3.541, 3.541], [3.541, 0.000, 3.541], [3.541, 3.541, 0.000]],
  "species": ["Pr", "Sm", "Ir", "Ir"],
  "frac_coords": [[0.000, 0.000, 0.000], [0.500, 0.500, 0.500], [0.250, 0.250, 0.250], [0.750, 0.750, 0.750]]
}


{
  "formula": "Pr3Sm2Ir2",
  "functional": "GGA-PBE",
  "state": "optimized geometry",
  "density_g_cm3": 8.96,
  "dft_energy_ev_per_atom": -6.41,
  "magmom_total_mub_per_cell": 0.00,
  "vol_a3_per_cell": 205.2,
  "lattice_angstrom": [[6.241, -1.990, 0.000], [6.241, 1.990, 0.000], [-3.950, 0.000, 8.264]],
  "species": ["Pr", "Pr", "Pr", "Sm", "Sm", "Ir", "Ir"],
  "frac_coords": [[0.000, 0.000, 0.000], [0.116, 0.116, 0.426], [0.884, 0.884, 0.574], [0.328, 0.328, 0.189], [0.672, 0.672, 0.811], [0.317, 0.317, 0.759], [0.683, 0.683, 0.241]]
}


{
  "formula": "PrSmIr4",
  "functional": "GGA-PBE",
  "state": "optimized geometry",
  "density_g_cm3": 15.50,
  "dft_energy_ev_per_atom": -8.19,
  "magmom_total_mub_per_cell": 0.00,
  "vol_a3_per_cell": 113.6,
  "lattice_angstrom": [[0.000, 3.844, 3.844], [3.844, 0.000, 3.844], [3.844, 3.844, 0.000]],
  "species": ["Pr", "Sm", "Ir", "Ir", "Ir", "Ir"],
  "frac_coords": [[0.000, 0.000, 0.000], [0.250, 0.250, 0.250], [0.125, 0.625, 0.625], [0.625, 0.125, 0.625], [0.625, 0.625, 0.125], [0.625, 0.625, 0.625]]
}